# NaSmVF6 (PBE with a Hubbard U, relaxed)
# M_tot (μB per formula unit): 3.0
# E (eV/atom): -6.01
# Crystal system: trigonal
data_NaSmVF6
_chemical_formula_sum 'Na2 Sm2 V2 F12'
_space_group_name_H-M_alt 'P -3 1 c'
_space_group_IT_number 163
_space_group_name_Hall '-P 3 2c'
_cell_length_a 5.8384
_cell_length_b 5.8384
_cell_length_c 9.4571
_cell_angle_alpha 90.00
_cell_angle_beta 90.00
_cell_angle_gamma 120.00
loop_
_atom_site_label
_atom_site_fract_x
_atom_site_fract_y
_atom_site_fract_z
_atom_site_occupancy
Na1 0.0000 0.0000 0.0000 1
Sm1 0.3333 0.6667 0.2500 1
V1 0.3333 0.6667 0.7500 1
F1 0.0181 0.3586 0.6332 1